1.
Density functional theory data (GGA-PBE) for a relaxed structure of ScPCO2.

Geometry as CIF:
```
data_ScPCO2
_chemical_formula_sum 'Sc1 P1 C1 O2'
_cell_length_a 3.799
_cell_length_b 3.799
_cell_length_c 3.728
_cell_angle_alpha 90.00
_cell_angle_beta 90.00
_cell_angle_gamma 90.00
_symmetry_space_group_name_H-M 'P 1'
_symmetry_Int_Tables_number 1
loop_
_symmetry_equiv_pos_as_xyz
'x,y,z'
loop_
_atom_site_label
_atom_site_type_symbol
_atom_site_fract_x
_atom_site_fract_y
_atom_site_fract_z
Sc1 Sc 0.500 0.500 0.500
P1 P 0.000 0.000 0.500
C1 C 0.000 0.000 0.000
O1 O 0.000 0.500 0.000
O2 O 0.500 0.000 0.000
```

Formation energy without anion corrections ... 0.026 eV/atom
D(E_F) ... 2.343 states/eV/f.u.
E above lowest polymorph ... 0.0 meV/atom



2.
Density functional theory data (GGA-PBE) for a relaxed structure of Rb2InHg4.

Geometry as CIF:
```
data_Rb2InHg4
_chemical_formula_sum 'Rb2 In1 Hg4'
_cell_length_a 5.641
_cell_length_b 5.641
_cell_length_c 10.257
_cell_angle_alpha 105.96
_cell_angle_beta 105.96
_cell_angle_gamma 90.00
_symmetry_space_group_name_H-M 'P 1'
_symmetry_Int_Tables_number 1
loop_
_symmetry_equiv_pos_as_xyz
'x,y,z'
loop_
_atom_site_label
_atom_site_type_symbol
_atom_site_fract_x
_atom_site_fract_y
_atom_site_fract_z
Hg1 Hg 0.828 0.828 0.655
Hg2 Hg 0.172 0.172 0.345
Hg3 Hg 0.000 0.500 0.000
Hg4 Hg 0.500 0.000 0.000
Rb1 Rb 0.636 0.636 0.271
Rb2 Rb 0.364 0.364 0.729
In1 In 0.000 0.000 0.000
```

DFT total energy ... -0.961 eV per atom
D(E_F) ... 2.609 states/eV/f.u.



3.
Density functional theory data (GGA-PBE) for a relaxed structure of Ac3B2Ir2N3.

Geometry as CIF:
```
data_Ac3B2Ir2N3
_chemical_formula_sum 'Ac3 B2 Ir2 N3'
_cell_length_a 3.957
_cell_length_b 3.957
_cell_length_c 10.883
_cell_angle_alpha 100.47
_cell_angle_beta 100.47
_cell_angle_gamma 90.00
_symmetry_space_group_name_H-M 'P 1'
_symmetry_Int_Tables_number 1
loop_
_symmetry_equiv_pos_as_xyz
'x,y,z'
loop_
_atom_site_label
_atom_site_type_symbol
_atom_site_fract_x
_atom_site_fract_y
_atom_site_fract_z
Ac1 Ac 0.629 0.629 0.258
Ac2 Ac 0.371 0.371 0.742
Ac3 Ac 0.000 0.000 0.000
B1 B 0.803 0.803 0.605
B2 B 0.197 0.197 0.395
Ir1 Ir 0.750 0.250 0.500
Ir2 Ir 0.250 0.750 0.500
N1 N 0.874 0.874 0.747
N2 N 0.500 0.500 0.000
N3 N 0.126 0.126 0.253
```

Formation energy without anion corrections ... -1.029 eV/atom
D(E_F) ... 1.458 states/eV/f.u.



4.
Density functional theory data (GGA-PBE) for a relaxed structure of HfSiHgPb2.

Geometry as CIF:
```
data_HfSiHgPb2
_chemical_formula_sum 'Hf1 Si1 Hg1 Pb2'
_cell_length_a 5.511
_cell_length_b 5.464
_cell_length_c 5.511
_cell_angle_alpha 90.00
_cell_angle_beta 90.00
_cell_angle_gamma 90.00
_symmetry_space_group_name_H-M 'P 1'
_symmetry_Int_Tables_number 1
loop_
_symmetry_equiv_pos_as_xyz
'x,y,z'
loop_
_atom_site_label
_atom_site_type_symbol
_atom_site_fract_x
_atom_site_fract_y
_atom_site_fract_z
Pb1 Pb 0.000 0.000 0.500
Pb2 Pb 0.500 0.000 0.000
Si1 Si 0.500 0.500 0.500
Hf1 Hf 0.000 0.500 0.000
Hg1 Hg 0.000 0.000 0.000
```

Formation energy without anion corrections ... 1.222 eV/atom
D(E_F) ... 4.117 states/eV/f.u.



5.
Density functional theory data (GGA-PBE) for a relaxed structure of TlSnOsO6.

Geometry as CIF:
```
data_TlSnOsO6
_chemical_formula_sum 'Tl2 Sn2 Os2 O12'
_cell_length_a 7.340
_cell_length_b 7.353
_cell_length_c 7.423
_cell_angle_alpha 119.69
_cell_angle_beta 119.63
_cell_angle_gamma 90.00
_symmetry_space_group_name_H-M 'P 1'
_symmetry_Int_Tables_number 1
loop_
_symmetry_equiv_pos_as_xyz
'x,y,z'
loop_
_atom_site_label
_atom_site_type_symbol
_atom_site_fract_x
_atom_site_fract_y
_atom_site_fract_z
Tl1 Tl 0.912 0.662 0.824
Tl2 Tl 0.088 0.338 0.176
Sn1 Sn 0.500 0.000 0.500
Sn2 Sn 0.000 0.000 0.500
Os1 Os 0.500 0.500 0.000
Os2 Os 0.500 0.000 0.000
O1 O 0.457 0.707 0.913
O2 O 0.831 0.081 0.663
O3 O 0.804 0.079 0.242
O4 O 0.438 0.663 0.242
O5 O 0.438 0.079 0.242
O6 O 0.804 0.663 0.242
O7 O 0.543 0.293 0.087
O8 O 0.169 0.919 0.337
O9 O 0.196 0.921 0.758
O10 O 0.562 0.337 0.758
O11 O 0.562 0.921 0.758
O12 O 0.196 0.337 0.758
```

Formation energy without anion corrections ... -1.070 eV/atom
D(E_F) ... 2.764 states/eV/f.u.



6.
Density functional theory data (GGA-PBE) for a relaxed structure of PSe3I.

Geometry as CIF:
```
data_PSe3I
_chemical_formula_sum 'P2 Se6 I2'
_cell_length_a 9.425
_cell_length_b 6.956
_cell_length_c 6.377
_cell_angle_alpha 98.32
_cell_angle_beta 89.99
_cell_angle_gamma 90.02
_symmetry_space_group_name_H-M 'P 1'
_symmetry_Int_Tables_number 1
loop_
_symmetry_equiv_pos_as_xyz
'x,y,z'
loop_
_atom_site_label
_atom_site_type_symbol
_atom_site_fract_x
_atom_site_fract_y
_atom_site_fract_z
P1 P 0.081 0.612 0.672
P2 P 0.581 0.741 0.230
Se1 Se 0.439 0.477 0.200
Se2 Se 0.452 0.682 0.916
Se3 Se 0.914 0.473 0.436
Se4 Se 0.939 0.876 0.702
Se5 Se 0.952 0.670 0.985
Se6 Se 0.414 0.880 0.466
I1 I 0.491 0.238 0.612
I2 I 0.992 0.115 0.289
```

Formation energy without anion corrections ... 0.092 eV/atom
E above lowest polymorph ... 6.2 meV/atom



7.
Density functional theory data (GGA-PBE) for a relaxed structure of ScPaSe4.

Geometry as CIF:
```
data_ScPaSe4
_chemical_formula_sum 'Sc1 Pa1 Se4'
_cell_length_a 4.079
_cell_length_b 7.794
_cell_length_c 6.833
_cell_angle_alpha 115.29
_cell_angle_beta 90.00
_cell_angle_gamma 105.17
_symmetry_space_group_name_H-M 'P 1'
_symmetry_Int_Tables_number 1
loop_
_symmetry_equiv_pos_as_xyz
'x,y,z'
loop_
_atom_site_label
_atom_site_type_symbol
_atom_site_fract_x
_atom_site_fract_y
_atom_site_fract_z
Sc1 Sc 0.000 0.000 0.000
Pa1 Pa 0.500 0.000 0.500
Se1 Se 0.610 0.220 0.269
Se2 Se 0.886 0.771 0.219
Se3 Se 0.390 0.780 0.731
Se4 Se 0.114 0.229 0.781
```

Formation energy without anion corrections ... -1.479 eV/atom
E above lowest polymorph ... 0.0 meV/atom



8.
Density functional theory data (GGA-PBE) for a relaxed structure of InAg2Pd2.

Geometry as CIF:
```
data_InAg2Pd2
_chemical_formula_sum 'In1 Ag2 Pd2'
_cell_length_a 3.738
_cell_length_b 3.738
_cell_length_c 7.399
_cell_angle_alpha 75.37
_cell_angle_beta 75.37
_cell_angle_gamma 90.00
_symmetry_space_group_name_H-M 'P 1'
_symmetry_Int_Tables_number 1
loop_
_symmetry_equiv_pos_as_xyz
'x,y,z'
loop_
_atom_site_label
_atom_site_type_symbol
_atom_site_fract_x
_atom_site_fract_y
_atom_site_fract_z
Pd1 Pd 0.404 0.404 0.191
Pd2 Pd 0.596 0.596 0.809
Ag1 Ag 0.750 0.250 0.500
Ag2 Ag 0.250 0.750 0.500
In1 In 0.000 0.000 0.000
```

D(E_F) ... 2.442 states/eV/f.u.
E above lowest polymorph ... 207.5 meV/atom